RbCd6Ag4 | PBE-GGA | optimized geometry

The space group is P-6m2 (No. 187) and the conventional cell measures 8.1533, 8.1533 and 4.6513 Å, with angles of 90.00, 90.00 and 120.00 degrees. The inequivalent atoms are Rb at (0.0000, 0.0000, 0.0000), Cd at (0.2027, 0.4053, 0.5000), Cd at (0.5344, 0.0688, 0.0000), Ag at (0.3333, 0.6667, 0.0000) and Ag at (0.4207, 0.2104, 0.5000).

Its energy is -18.0 eV for the cell shown. The calculation puts the total magnetic moment at 0.00 μB per formula unit.


CaInN2O | PBE-GGA | optimized geometry

The space group is P4/mmm (No. 123) and the conventional cell measures 4.700, 4.700 and 4.467 Å, with angles of 90.00, 90.00 and 90.00 degrees. The inequivalent atoms are Ca at (0.000, 0.000, 0.000), In at (0.500, 0.500, 0.500), N at (0.000, 0.500, 0.000) and O at (0.000, 0.000, 0.500).

The uncorrected formation energy is 0.8808 eV per atom. The calculation puts the total magnetic moment at 5.01 μB per formula unit.


KTa2Co | PBE-GGA | optimized geometry

The space group is I4_1/amd (No. 141, origin choice 2) and the conventional cell measures 5.361, 5.361 and 15.927 Å, with angles of 90.00, 90.00 and 90.00 degrees. The inequivalent atoms are K at (0.000, 0.250, 0.375), Ta at (0.000, 0.000, 0.000) and Co at (0.000, 0.250, 0.875).

The energy relative to the lowest polymorph listed for this composition comes out at 1.082 eV/atom. The calculation puts the total magnetic moment at 0.00 μB per formula unit.


Dy2TmPd | PBE-GGA | optimized geometry

The space group is Pnma (No. 62) and the conventional cell measures 6.972, 9.645 and 6.438 Å, with angles of 90.00, 90.00 and 90.00 degrees. The inequivalent atoms are Dy at (0.184, 0.059, 0.178), Tm at (0.025, 0.250, 0.631) and Pd at (0.108, 0.750, 0.949).

The energy relative to the lowest polymorph listed for this composition comes out at 0.000 eV/atom. The calculation puts the total magnetic moment at 0.00 μB per formula unit.


TmCd4Ga | PBE-GGA | optimized geometry

The space group is F-43m (No. 216) and the conventional cell measures 8.284, 8.284 and 8.284 Å, with angles of 90.00, 90.00 and 90.00 degrees. The inequivalent atoms are Tm at (0.000, 0.000, 0.000), Cd at (0.125, 0.125, 0.375) and Ga at (0.250, 0.250, 0.750).

Its energy is -45.4 eV for the cell shown. The calculation puts the total magnetic moment at 0.00 μB per formula unit.


Ce3Y4Se8 | PBE-GGA | optimized geometry

The space group is C2/m (No. 12) and the conventional cell measures 11.684, 11.696 and 8.238 Å, with angles of 90.00, 134.76 and 90.00 degrees. The inequivalent atoms are Ce at (0.000, 0.000, 0.000), Ce at (0.250, 0.250, 0.000), Y at (0.000, 0.500, 0.000), Y at (0.000, 0.500, 0.500), Y at (0.250, 0.250, 0.500), Se at (0.000, 0.250, 0.500), Se at (0.000, 0.254, 0.000), Se at (0.245, 0.500, 0.998) and Se at (0.247, 0.500, 0.494).

The uncorrected formation energy is -1.8432 eV per atom. The calculation puts the total magnetic moment at 3.64 μB per formula unit.


RbBa3Al | PBE-GGA | optimized geometry

The space group is Pm-3m (No. 221) and the conventional cell measures 6.456, 6.456 and 6.456 Å, with angles of 90.00, 90.00 and 90.00 degrees. The inequivalent atoms are Rb at (0.000, 0.000, 0.000), Ba at (0.000, 0.000, 0.500) and Al at (0.500, 0.500, 0.500).

The energy relative to the lowest polymorph listed for this composition comes out at 0.853 eV/atom. The calculation puts the total magnetic moment at 0.66 μB per formula unit.


Ba2CrOs | PBE-GGA | optimized geometry

The space group is I-4m2 (No. 119) and the conventional cell measures 5.329, 5.329 and 7.569 Å, with angles of 90.00, 90.00 and 90.00 degrees. The inequivalent atoms are Ba at (0.000, 0.000, 0.000), Ba at (0.000, 0.500, 0.250), Cr at (0.000, 0.500, 0.750) and Os at (0.000, 0.000, 0.500).

The energy relative to the lowest polymorph listed for this composition comes out at 0.734 eV/atom. The calculation puts the total magnetic moment at 3.90 μB per formula unit.


ScZn2PO6 | PBE-GGA | optimized geometry

The space group is C2/c (No. 15) and the conventional cell measures 11.196, 7.623 and 6.697 Å, with angles of 90.00, 107.47 and 90.00 degrees. The inequivalent atoms are Sc at (0.000, 0.248, 0.250), Zn at (0.198, 0.498, 0.597), P at (0.000, 0.135, 0.750), O at (0.000, 0.252, 0.564), O at (0.112, 0.002, 0.809) and O at (0.152, 0.407, 0.323).

The uncorrected formation energy is -2.2274 eV per atom. The calculation puts the total magnetic moment at 0.00 μB per formula unit.


BaAlTc2O8 | PBE-GGA | optimized geometry

The space group is P-3 (No. 147) and the conventional cell measures 5.5660, 5.5660 and 7.2573 Å, with angles of 90.00, 90.00 and 120.00 degrees. The inequivalent atoms are Ba at (0.0000, 0.0000, 0.0000), Al at (0.0000, 0.0000, 0.5000), Tc at (0.3333, 0.6667, 0.7252), O at (0.1035, 0.3056, 0.6611) and O at (0.3333, 0.6667, 0.9717).

The uncorrected formation energy is -1.8993 eV per atom. The calculation puts the total magnetic moment at 3.00 μB per formula unit.


Among the records above, which one has the highest total magnetic moment? CaInN2O


Which formula does entry 7 have? RbBa3Al


Which formula does entry 6 have? Ce3Y4Se8